YCrHg2Os: relaxed, PBE.

E_form   618 meV per atom
Size of the total moment   2.5 Bohr magnetons per cell
Calculated total energy   -4.966 eV/atom

Cell lengths 5.227, 5.227, 4.554 Å; angles 90.00, 90.00, 90.00 degrees
Space group P4/mmm (No. 123)
Asymmetric unit:
Y: 0.000 0.000 0.000
Cr: 0.500 0.500 0.000
Hg: 0.000 0.500 0.500
Os: 0.500 0.500 0.500